1.
Density functional theory data (GGA-PBE) for a geometry-optimized BaMgOF2 structure.

Properties
energy = -4.26 eV per atom
polymorph energy (0 for the lowest one) = 1429.1 meV per atom
density of states at the Fermi level = 1.5 states/eV/f.u.
mass density = 2.93 g/cm3
ΔE_f (raw) = -1.82 eV per atom

a = 4.907 Å, b = 4.907 Å, c = 5.082 Å
α = 90.00°, β = 90.00°, γ = 90.00°
Fractional positions:
O 0.000 0.000 0.500
Ba 0.000 0.000 0.000
Mg 0.500 0.500 0.500
F 0.500 0.000 0.000
F 0.000 0.500 0.000



2.
Density functional theory data (GGA-PBE) for a geometry-optimized Pr4ZnAg3 structure.

Properties
energy = -3.88 eV per atom
polymorph energy (0 for the lowest one) = 0.0 meV per atom
density of states at the Fermi level = 7.1 states/eV/f.u.
mass density = 7.42 g/cm3

a = 3.779 Å, b = 3.779 Å, c = 14.936 Å
α = 90.00°, β = 90.00°, γ = 90.00°
Fractional positions:
Zn 0.500 0.500 0.000
Pr 0.000 0.000 0.373
Ag 0.500 0.500 0.247
Pr 0.000 0.000 0.880
Ag 0.500 0.500 0.753
Pr 0.000 0.000 0.627
Pr 0.000 0.000 0.120
Ag 0.500 0.500 0.500



3.
Density functional theory data (GGA-PBE) for a geometry-optimized AsIr2Pb structure.

Properties
energy = -6.29 eV per atom
polymorph energy (0 for the lowest one) = 143.6 meV per atom
density of states at the Fermi level = 3.1 states/eV/f.u.
mass density = 14.92 g/cm3

a = 3.043 Å, b = 3.948 Å, c = 6.175 Å
α = 90.00°, β = 90.00°, γ = 90.00°
Fractional positions:
Ir 0.000 0.000 0.964
Pb 0.000 0.000 0.463
Ir 0.500 0.500 0.233
As 0.500 0.500 0.840



4.
Density functional theory data (GGA-PBE) for a geometry-optimized NbGeI3 structure.

Properties
energy = -3.07 eV per atom
polymorph energy (0 for the lowest one) = 371.2 meV per atom
density of states at the Fermi level = 13.4 states/eV/f.u.
mass density = 4.81 g/cm3
ΔE_f (raw) = 0.80 eV per atom

a = 5.735 Å, b = 5.735 Å, c = 5.735 Å
α = 90.00°, β = 90.00°, γ = 90.00°
Fractional positions:
Nb 0.500 0.500 0.500
I 0.000 0.500 0.000
I 0.000 0.000 0.500
I 0.500 0.000 0.000
Ge 0.000 0.000 0.000



5.
Density functional theory data (GGA-PBE) for a geometry-optimized Ce2YTl2Cd2 structure.

Properties
energy = -3.68 eV per atom
density of states at the Fermi level = 12.3 states/eV/f.u.
mass density = 9.00 g/cm3

a = 4.852 Å, b = 4.852 Å, c = 9.493 Å
α = 75.19°, β = 75.19°, γ = 60.00°
Fractional positions:
Tl 0.275 0.275 0.176
Tl 0.725 0.725 0.824
Ce 0.854 0.854 0.437
Y 0.000 0.000 0.000
Cd 0.422 0.422 0.733
Ce 0.146 0.146 0.563
Cd 0.578 0.578 0.267



6.
Density functional theory data (GGA-PBE) for a geometry-optimized BaAsPt2 structure.

Properties
energy = -4.93 eV per atom
density of states at the Fermi level = 2.2 states/eV/f.u.
mass density = 10.14 g/cm3

a = 3.878 Å, b = 3.764 Å, c = 6.999 Å
α = 75.03°, β = 90.00°, γ = 90.00°
Fractional positions:
Pt 0.000 0.432 0.421
Ba 0.500 0.750 0.750
Pt 0.000 0.068 0.079
As 0.500 0.250 0.250



7.
Density functional theory data (GGA-PBE) for a geometry-optimized Pr2MgSb structure.

Properties
energy = -4.41 eV per atom
polymorph energy (0 for the lowest one) = 0.0 meV per atom
density of states at the Fermi level = 2.7 states/eV/f.u.
mass density = 6.01 g/cm3
ΔE_f (raw) = -0.59 eV per atom

a = 4.136 Å, b = 4.136 Å, c = 6.915 Å
α = 90.00°, β = 90.00°, γ = 90.00°
Fractional positions:
Mg 0.500 0.500 0.500
Pr 0.000 0.000 0.242
Pr 0.000 0.000 0.758
Sb 0.500 0.500 0.000



8.
Density functional theory data (GGA-PBE) for a geometry-optimized ScFeTeN2 structure.

Properties
energy = -6.44 eV per atom
polymorph energy (0 for the lowest one) = 0.0 meV per atom
density of states at the Fermi level = 3.7 states/eV/f.u.
mass density = 5.62 g/cm3
ΔE_f (raw) = 0.48 eV per atom

a = 3.840 Å, b = 3.840 Å, c = 5.141 Å
α = 90.00°, β = 90.00°, γ = 90.00°
Fractional positions:
N 0.000 0.500 0.000
Sc 0.500 0.500 0.500
Te 0.000 0.000 0.500
Fe 0.000 0.000 0.000
N 0.500 0.000 0.000



9.
Density functional theory data (GGA-PBE) for a geometry-optimized Ac2CoGe structure.

Properties
energy = -5.26 eV per atom
density of states at the Fermi level = 3.1 states/eV/f.u.
mass density = 8.76 g/cm3

a = 4.553 Å, b = 9.217 Å, c = 6.202 Å
α = 111.86°, β = 111.53°, γ = 90.00°
Fractional positions:
Ac 0.833 0.917 0.667
Co 0.001 0.250 0.000
Ge 0.500 0.750 0.000
Co 0.999 0.750 0.000
Ac 0.833 0.417 0.667
Ac 0.167 0.083 0.333
Ge 0.500 0.250 0.000
Ac 0.167 0.583 0.333



10.
Density functional theory data (GGA-PBE) for a geometry-optimized InAg12Au6 structure.

Properties
energy = -2.95 eV per atom
density of states at the Fermi level = 5.4 states/eV/f.u.
mass density = 11.99 g/cm3

a = 7.320 Å, b = 7.320 Å, c = 7.320 Å
α = 102.59°, β = 102.59°, γ = 102.59°
Fractional positions:
Ag 0.587 0.191 0.586
Ag 0.413 0.809 0.414
Ag 0.000 0.736 0.264
Au 0.167 0.166 0.421
Ag 0.264 0.736 0.000
Ag 0.264 0.000 0.736
Au 0.833 0.834 0.579
Ag 0.586 0.587 0.191
Ag 0.736 0.264 0.000
Au 0.834 0.579 0.833
Ag 0.809 0.414 0.413
Au 0.166 0.421 0.167
Ag 0.191 0.586 0.587
In 0.000 0.000 0.000
Ag 0.736 0.000 0.264
Ag 0.000 0.264 0.736
Ag 0.414 0.413 0.809
Au 0.421 0.167 0.166
Au 0.579 0.833 0.834



11.
Density functional theory data (GGA-PBE) for a geometry-optimized MoAuBr2 structure.

Properties
energy = -4.02 eV per atom
polymorph energy (0 for the lowest one) = 259.9 meV per atom
density of states at the Fermi level = 1.8 states/eV/f.u.
mass density = 7.51 g/cm3
ΔE_f (raw) = 0.34 eV per atom

a = 7.245 Å, b = 7.245 Å, c = 7.245 Å
α = 155.21°, β = 140.98°, γ = 46.78°
Fractional positions:
Au 0.666 0.166 0.500
Br 0.009 0.009 0.000
Br 0.333 0.833 0.500
Mo 0.492 0.492 0.000



12.
Density functional theory data (GGA-PBE) for a geometry-optimized TiTlIn structure.

Properties
energy = -3.98 eV per atom
density of states at the Fermi level = 2.3 states/eV/f.u.
mass density = 8.71 g/cm3

a = 5.526 Å, b = 3.143 Å, c = 8.663 Å
α = 100.45°, β = 108.60°, γ = 90.00°
Fractional positions:
Ti 0.166 0.666 0.332
Tl 0.340 0.840 0.679
In 0.246 0.500 0.000
In 0.754 0.500 0.000
Ti 0.834 0.334 0.668
Tl 0.660 0.160 0.321



13.
Density functional theory data (GGA-PBE) for a geometry-optimized Tm7Cu2Au2 structure.

Properties
energy = -4.37 eV per atom
density of states at the Fermi level = 12.3 states/eV/f.u.
mass density = 9.96 g/cm3

a = 6.542 Å, b = 7.013 Å, c = 6.542 Å
α = 90.00°, β = 108.78°, γ = 90.00°
Fractional positions:
Tm 0.500 0.747 0.500
Tm 0.500 0.736 0.000
Tm 0.500 0.264 0.000
Au 0.191 0.500 0.191
Tm 0.000 0.736 0.500
Cu 0.706 0.000 0.294
Tm 0.500 0.253 0.500
Tm 0.000 0.264 0.500
Tm 0.000 0.000 0.000
Cu 0.294 0.000 0.706
Au 0.809 0.500 0.809



14.
Density functional theory data (GGA-PBE) for a geometry-optimized RuPb2Br structure.

Properties
energy = -4.22 eV per atom
polymorph energy (0 for the lowest one) = 243.7 meV per atom
density of states at the Fermi level = 3.1 states/eV/f.u.
mass density = 10.44 g/cm3
ΔE_f (raw) = 0.37 eV per atom

a = 5.392 Å, b = 5.392 Å, c = 3.258 Å
α = 90.00°, β = 90.00°, γ = 90.05°
Fractional positions:
Pb 0.000 0.000 0.000
Ru 0.500 0.000 0.500
Br 0.000 0.500 0.500
Pb 0.500 0.500 0.000



15.
Density functional theory data (GGA-PBE) for a geometry-optimized Pm3Sm8In structure.

Properties
energy = -4.12 eV per atom
density of states at the Fermi level = 18.3 states/eV/f.u.
mass density = 6.67 g/cm3

a = 8.421 Å, b = 8.421 Å, c = 8.421 Å
α = 94.28°, β = 117.56°, γ = 117.56°
Fractional positions:
Sm 0.000 0.239 0.735
Sm 0.748 0.125 0.125
Sm 0.000 0.623 0.875
Sm 0.252 0.377 0.377
In 0.000 0.000 0.000
Pm 0.500 0.750 0.250
Sm 0.000 0.875 0.623
Sm 0.000 0.735 0.239
Pm 0.000 0.500 0.500
Sm 0.495 0.761 0.761
Sm 0.505 0.265 0.265
Pm 0.500 0.250 0.750



16.
Density functional theory data (GGA-PBE) for a geometry-optimized NbSeCl3 structure.

Properties
energy = -4.80 eV per atom
mass density = 2.68 g/cm3
ΔE_f (raw) = -0.98 eV per atom

a = 6.531 Å, b = 10.720 Å, c = 9.869 Å
α = 93.31°, β = 90.00°, γ = 90.00°
Fractional positions:
Cl 0.319 0.262 0.915
Cl 0.181 0.762 0.415
Cl 0.819 0.238 0.585
Cl 0.283 0.997 0.622
Cl 0.373 0.849 0.882
Se 0.609 0.391 0.314
Se 0.891 0.891 0.814
Nb 0.673 0.706 0.850
Cl 0.217 0.497 0.122
Cl 0.681 0.738 0.085
Cl 0.717 0.003 0.378
Cl 0.873 0.651 0.618
Nb 0.327 0.294 0.150
Se 0.391 0.609 0.686
Cl 0.127 0.349 0.382
Cl 0.627 0.151 0.118
Se 0.109 0.109 0.186
Cl 0.783 0.503 0.878
Nb 0.827 0.206 0.350
Nb 0.173 0.794 0.650



17.
Density functional theory data (GGA-PBE) for a geometry-optimized Nb2IrPt3 structure.

Properties
energy = -8.26 eV per atom
density of states at the Fermi level = 7.1 states/eV/f.u.
mass density = 16.24 g/cm3

a = 5.090 Å, b = 5.090 Å, c = 9.320 Å
α = 112.46°, β = 112.46°, γ = 66.50°
Fractional positions:
Nb 0.250 0.750 0.500
Ir 0.675 0.675 0.350
Pt 0.178 0.178 0.842
Pt 0.168 0.168 0.336
Nb 0.249 0.751 0.000
Nb 0.751 0.249 0.000
Ir 0.325 0.325 0.650
Pt 0.832 0.832 0.664
Nb 0.750 0.250 0.500
Pt 0.664 0.664 0.842
Pt 0.822 0.822 0.158
Pt 0.336 0.336 0.158



18.
Density functional theory data (GGA-PBE) for a geometry-optimized FeSi2Ir structure.

Properties
energy = -7.43 eV per atom
density of states at the Fermi level = 2.2 states/eV/f.u.
mass density = 9.57 g/cm3
ΔE_f (raw) = -0.39 eV per atom

a = 5.820 Å, b = 5.820 Å, c = 5.820 Å
α = 152.24°, β = 144.75°, γ = 45.44°
Fractional positions:
Fe 0.467 0.467 0.000
Si 0.034 0.034 0.000
Si 0.297 0.797 0.500
Ir 0.702 0.202 0.500



19.
Density functional theory data (GGA-PBE) for a geometry-optimized Th2PaP3Rh12 structure.

Properties
energy = -7.66 eV per atom
density of states at the Fermi level = 9.0 states/eV/f.u.
mass density = 10.44 g/cm3

a = 7.111 Å, b = 7.111 Å, c = 7.111 Å
α = 73.32°, β = 73.32°, γ = 73.32°
Fractional positions:
Rh 0.332 0.906 0.332
Rh 0.332 0.332 0.906
Rh 0.156 0.156 0.624
Rh 0.844 0.376 0.844
Rh 0.094 0.668 0.668
Rh 0.668 0.668 0.094
Th 0.394 0.394 0.394
P 0.000 0.500 0.000
Th 0.606 0.606 0.606
Rh 0.624 0.156 0.156
Rh 0.668 0.094 0.668
Rh 0.844 0.844 0.376
Rh 0.906 0.332 0.332
P 0.500 0.000 0.000
Rh 0.376 0.844 0.844
Pa 0.000 0.000 0.000
P 0.000 0.000 0.500
Rh 0.156 0.624 0.156



20.
Density functional theory data (GGA-PBE) for a geometry-optimized PrCoCu structure.

Properties
energy = -5.37 eV per atom
density of states at the Fermi level = 2.9 states/eV/f.u.
mass density = 7.82 g/cm3

a = 5.420 Å, b = 5.902 Å, c = 7.550 Å
α = 112.11°, β = 90.00°, γ = 90.00°
Fractional positions:
Co 0.109 0.819 0.469
Co 0.891 0.181 0.531
Co 0.609 0.181 0.031
Cu 0.901 0.406 0.305
Cu 0.099 0.594 0.695
Co 0.391 0.819 0.969
Cu 0.401 0.594 0.195
Pr 0.888 0.801 0.121
Pr 0.612 0.801 0.621
Pr 0.388 0.199 0.379
Cu 0.599 0.406 0.805
Pr 0.112 0.199 0.879



21.
Density functional theory data (GGA-PBE) for a geometry-optimized BePt2Se structure.

Properties
energy = -4.80 eV per atom
polymorph energy (0 for the lowest one) = 265.2 meV per atom
density of states at the Fermi level = 1.2 states/eV/f.u.
mass density = 13.36 g/cm3
ΔE_f (raw) = 0.02 eV per atom

a = 4.393 Å, b = 4.393 Å, c = 3.079 Å
α = 90.00°, β = 90.00°, γ = 89.99°
Fractional positions:
Pt 0.500 0.500 0.000
Pt 0.000 0.000 0.000
Be 0.000 0.500 0.500
Se 0.500 0.000 0.500



22.
Density functional theory data (GGA-PBE) for a geometry-optimized USi3Ni2 structure.

Properties
energy = -7.01 eV per atom
density of states at the Fermi level = 13.4 states/eV/f.u.
mass density = 8.10 g/cm3
ΔE_f (raw) = -0.49 eV per atom

a = 3.924 Å, b = 3.924 Å, c = 12.036 Å
α = 99.38°, β = 99.38°, γ = 90.00°
Fractional positions:
Si 0.303 0.303 0.606
Ni 0.401 0.401 0.800
U 0.849 0.849 0.698
Ni 0.250 0.750 0.500
Si 0.449 0.950 0.899
Si 0.950 0.449 0.899
Si 0.697 0.697 0.394
Ni 0.750 0.250 0.500
Si 0.050 0.551 0.101
Si 0.551 0.050 0.101
Ni 0.599 0.599 0.200
U 0.151 0.151 0.302



23.
Density functional theory data (GGA-PBE) for a geometry-optimized Li2Ac2Mg structure.

Properties
energy = -2.66 eV per atom
density of states at the Fermi level = 6.3 states/eV/f.u.
mass density = 5.24 g/cm3

a = 4.168 Å, b = 6.819 Å, c = 6.819 Å
α = 59.27°, β = 72.21°, γ = 72.21°
Fractional positions:
Ac 0.770 0.730 0.730
Li 0.500 0.710 0.290
Ac 0.230 0.270 0.270
Li 0.500 0.290 0.710
Mg 0.000 0.000 0.000



24.
Density functional theory data (GGA-PBE) for a geometry-optimized Ag3OsAu structure.

Properties
energy = -3.02 eV per atom
polymorph energy (0 for the lowest one) = 0.0 meV per atom
density of states at the Fermi level = 2.2 states/eV/f.u.
mass density = 9.04 g/cm3

a = 5.073 Å, b = 5.073 Å, c = 5.073 Å
α = 90.00°, β = 90.00°, γ = 90.00°
Fractional positions:
Au 0.500 0.500 0.500
Ag 0.000 0.000 0.500
Os 0.000 0.000 0.000
Ag 0.500 0.000 0.000
Ag 0.000 0.500 0.000



Calculated values (μB per formula unit) of M_tot for the records, taken in order: 0.4 0.0 0.0 4.0 2.4 0.0 0.0 1.3 0.0 0.0 2.0 0.0 0.0 0.4 0.0 0.0 0.0 0.0 0.0 0.5 0.0 0.0 0.0 2.3.